Entry 1:
P2PtO2 | the Alexandria database | PBE-GGA | relaxed; M_tot = 0.0 μB/f.u.; relative energy among the computed polymorphs = 0.00 eV per formula unit; space group = P4/mmm, No. 123
1.0
3.351 0.000 0.000
0.000 3.351 0.000
0.000 0.000 6.058
P Pt O
2 1 2
direct
0.000 0.000 0.000 P
0.000 0.000 0.500 P
0.500 0.500 0.000 Pt
0.000 0.500 0.500 O
0.500 0.000 0.500 O


Entry 2:
PPt2O | the Alexandria database | PBE-GGA | relaxed; M_tot = 0.0 μB/f.u.; relative energy among the computed polymorphs = 0.72 eV per formula unit; space group = Fm-3m, No. 225
1.0
0.000 2.943 2.943
2.943 0.000 2.943
2.943 2.943 0.000
P Pt O
1 2 1
direct
0.000 0.000 0.000 P
0.250 0.250 0.250 Pt
0.750 0.750 0.750 Pt
0.500 0.500 0.500 O


Entry 3:
P2PtO2 | the Alexandria database | PBE-GGA | relaxed; M_tot = 0.0 μB/f.u.; relative energy among the computed polymorphs = 3.91 eV per formula unit; space group = P4/mmm, No. 123
1.0
3.675 0.000 0.000
0.000 3.675 0.000
0.000 0.000 6.680
P Pt O
2 1 2
direct
0.000 0.000 0.000 P
0.500 0.500 0.000 P
0.000 0.000 0.500 Pt
0.000 0.500 0.500 O
0.500 0.000 0.500 O


Entry 4:
P2PtO2 | the Alexandria database | PBE-GGA | relaxed; M_tot = 0.0 μB/f.u.; relative energy among the computed polymorphs = 4.86 eV per formula unit; space group = P4/mmm, No. 123
1.0
4.136 0.000 0.000
0.000 4.136 0.000
0.000 0.000 3.568
P Pt O
2 1 2
direct
0.000 0.500 0.000 P
0.500 0.000 0.000 P
0.000 0.000 0.500 Pt
0.500 0.500 0.000 O
0.500 0.500 0.500 O


| no. | ΔE_f (raw) (kJ/mol of formula units) |
| --- | --- |
| 1 | -188 |
| 2 | 26 |
| 3 | 189 |
| 4 | 281 |